(1)
# CaMgNb2V (PBE, relaxed)
data_CaMgNb2V
_symmetry_space_group_name_H-M 'P 4/m m m'
_symmetry_Int_Tables_number 123
_symmetry_space_group_name_Hall '-P 4 2'
_cell_length_a 4.879
_cell_length_b 4.879
_cell_length_c 5.043
_cell_angle_alpha 90.00
_cell_angle_beta 90.00
_cell_angle_gamma 90.00
loop_
_atom_site_label
_atom_site_fract_x
_atom_site_fract_y
_atom_site_fract_z
Ca1 0.000 0.000 0.000
Mg1 0.000 0.000 0.500
Nb1 0.000 0.500 0.500
V1 0.500 0.500 0.000
# * electronic total energy: -23.32 eV/cell
# * M_tot: 0.08 μB per formula unit
# * energy relative to the elements: 1.9061 eV/atom
# * D(E_F): 8.7 states/eV per cell

(2)
# CaNd5Mg4 (PBE, relaxed)
data_CaNd5Mg4
_symmetry_space_group_name_H-M 'P 4/m m m'
_symmetry_Int_Tables_number 123
_symmetry_space_group_name_Hall '-P 4 2'
_cell_length_a 3.904
_cell_length_b 3.904
_cell_length_c 20.450
_cell_angle_alpha 90.00
_cell_angle_beta 90.00
_cell_angle_gamma 90.00
loop_
_atom_site_label
_atom_site_fract_x
_atom_site_fract_y
_atom_site_fract_z
Ca1 0.000 0.000 0.000
Nd1 0.500 0.500 0.125
Nd2 0.500 0.500 0.310
Nd3 0.500 0.500 0.500
Mg1 0.000 0.000 0.217
Mg2 0.000 0.000 0.405
# * electronic total energy: -32.90 eV/cell
# * M_tot: 0.00 μB per formula unit
# * energy relative to the elements: -0.0684 eV/atom
# * D(E_F): 11.1 states/eV per cell

(3)
# CaNd2Mg6 (PBE, relaxed)
data_CaNd2Mg6
_symmetry_space_group_name_H-M 'P 6/m m m'
_symmetry_Int_Tables_number 191
_symmetry_space_group_name_Hall '-P 6 2'
_cell_length_a 9.1965
_cell_length_b 9.1965
_cell_length_c 3.4237
_cell_angle_alpha 90.00
_cell_angle_beta 90.00
_cell_angle_gamma 120.00
loop_
_atom_site_label
_atom_site_fract_x
_atom_site_fract_y
_atom_site_fract_z
Ca1 0.0000 0.0000 0.0000
Nd1 0.3333 0.6667 0.0000
Mg1 0.0000 0.3342 0.5000
# * electronic total energy: -21.82 eV/cell
# * offset from the most stable computed form: 0.0000 eV per atom
# * M_tot: 0.00 μB per formula unit
# * energy relative to the elements: -0.0793 eV/atom
# * D(E_F): 7.8 states/eV per cell

(4)
# Ca2NdMg (PBE, relaxed)
data_Ca2NdMg
_symmetry_space_group_name_H-M 'P 4/m m m'
_symmetry_Int_Tables_number 123
_symmetry_space_group_name_Hall '-P 4 2'
_cell_length_a 4.210
_cell_length_b 4.210
_cell_length_c 7.789
_cell_angle_alpha 90.00
_cell_angle_beta 90.00
_cell_angle_gamma 90.00
loop_
_atom_site_label
_atom_site_fract_x
_atom_site_fract_y
_atom_site_fract_z
Ca1 0.000 0.000 0.232
Nd1 0.500 0.500 0.500
Mg1 0.500 0.500 0.000
# * electronic total energy: -10.17 eV/cell
# * offset from the most stable computed form: 0.0574 eV per atom
# * M_tot: 0.00 μB per formula unit
# * energy relative to the elements: 0.0476 eV/atom
# * D(E_F): 4.1 states/eV per cell

(5)
# CaNd5Mg6 (PBE, relaxed)
data_CaNd5Mg6
_symmetry_space_group_name_H-M 'C m m m'
_symmetry_Int_Tables_number 65
_symmetry_space_group_name_Hall '-C 2 2'
_cell_length_a 5.506
_cell_length_b 16.533
_cell_length_c 7.815
_cell_angle_alpha 90.00
_cell_angle_beta 90.00
_cell_angle_gamma 90.00
loop_
_atom_site_label
_atom_site_fract_x
_atom_site_fract_y
_atom_site_fract_z
Ca1 0.000 0.000 0.000
Nd1 0.000 0.000 0.500
Nd2 0.000 0.333 0.000
Nd3 0.000 0.333 0.500
Mg1 0.000 0.167 0.251
Mg2 0.000 0.500 0.253
# * electronic total energy: -73.25 eV/cell
# * M_tot: 0.00 μB per formula unit
# * energy relative to the elements: -0.1016 eV/atom
# * D(E_F): 26.9 states/eV per cell

(6)
# Ca2NdMg (PBE, relaxed)
data_Ca2NdMg
_symmetry_space_group_name_H-M 'F m -3 m'
_symmetry_Int_Tables_number 225
_symmetry_space_group_name_Hall '-F 4 2 3'
_cell_length_a 8.184
_cell_length_b 8.184
_cell_length_c 8.184
_cell_angle_alpha 90.00
_cell_angle_beta 90.00
_cell_angle_gamma 90.00
loop_
_atom_site_label
_atom_site_fract_x
_atom_site_fract_y
_atom_site_fract_z
Ca1 0.250 0.250 0.250
Nd1 0.000 0.000 0.000
Mg1 0.000 0.000 0.500
# * electronic total energy: -39.73 eV/cell
# * offset from the most stable computed form: 0.1177 eV per atom
# * M_tot: 0.06 μB per formula unit
# * energy relative to the elements: 0.1080 eV/atom
# * D(E_F): 23.6 states/eV per cell

(7)
# CaNd2Mg4 (PBE, relaxed)
data_CaNd2Mg4
_symmetry_space_group_name_H-M 'I 4/m m m'
_symmetry_Int_Tables_number 139
_symmetry_space_group_name_Hall '-I 4 2'
_cell_length_a 5.631
_cell_length_b 5.631
_cell_length_c 16.446
_cell_angle_alpha 90.00
_cell_angle_beta 90.00
_cell_angle_gamma 90.00
loop_
_atom_site_label
_atom_site_fract_x
_atom_site_fract_y
_atom_site_fract_z
Ca1 0.000 0.000 0.000
Nd1 0.000 0.000 0.393
Mg1 0.000 0.000 0.190
Mg2 0.000 0.500 0.000
# * electronic total energy: -28.89 eV/cell
# * offset from the most stable computed form: 0.4316 eV per atom
# * M_tot: 0.00 μB per formula unit
# * energy relative to the elements: 0.4956 eV/atom
# * D(E_F): 12.9 states/eV per cell

(8)
# Ca2NdMg (PBE, relaxed)
data_Ca2NdMg
_symmetry_space_group_name_H-M 'I 4/m m m'
_symmetry_Int_Tables_number 139
_symmetry_space_group_name_Hall '-I 4 2'
_cell_length_a 5.517
_cell_length_b 5.517
_cell_length_c 18.501
_cell_angle_alpha 90.00
_cell_angle_beta 90.00
_cell_angle_gamma 90.00
loop_
_atom_site_label
_atom_site_fract_x
_atom_site_fract_y
_atom_site_fract_z
Ca1 0.000 0.000 0.146
Ca2 0.000 0.500 0.000
Nd1 0.000 0.000 0.352
Mg1 0.000 0.500 0.250
# * electronic total energy: -41.62 eV/cell
# * offset from the most stable computed form: 0.0000 eV per atom
# * M_tot: 0.00 μB per formula unit
# * energy relative to the elements: -0.0098 eV/atom
# * D(E_F): 16.4 states/eV per cell